Material: Ru3PtW2
Method: DFT, PBE
State: optimized geometry

Results
calculated density = 14487 kg/m3
calculated total energy = -9.721 eV per atom
DFT formation energy = 0.241 eV per atom

Cell: 8.1739 8.1739 8.2898 Å, 119.54 119.54 90.00°
Closest atoms and distances in Å follow each position.
Positions (direct):
Pt 0.9681 0.4681 0.9361  4 W 2.63-2.74, 6 Ru 2.77-2.94
Pt 0.5319 0.0319 0.0639  4 W 2.63-2.74, 6 Ru 2.77-2.94
Pt 0.7181 0.7181 0.4361  4 W 2.63-2.74, 6 Ru 2.77-2.94
Pt 0.2819 0.2819 0.5639  4 W 2.63-2.74, 6 Ru 2.77-2.94
W 0.9016 0.0917 0.1833  7 Ru 2.60-2.69, 2 Pt 2.63-2.74
W 0.3484 0.6583 0.3167  7 Ru 2.60-2.69, 2 Pt 2.63-2.74
W 0.3417 0.6516 0.6833  7 Ru 2.60-2.69, 2 Pt 2.63-2.74
W 0.9083 0.7183 0.8167  7 Ru 2.60-2.69, 2 Pt 2.63-2.74
W 0.9083 0.0984 0.8167  7 Ru 2.60-2.69, 2 Pt 2.63-2.74
W 0.2817 0.0917 0.1833  7 Ru 2.60-2.69, 2 Pt 2.63-2.74
W 0.9683 0.6583 0.3167  7 Ru 2.60-2.69, 2 Pt 2.63-2.74
W 0.3417 0.0317 0.6833  7 Ru 2.60-2.69, 2 Pt 2.63-2.74
Ru 0.2841 0.2841 0.0000  4 W 2.68-2.69, 2 Ru 2.77, 2 Pt 2.94
Ru 0.1250 0.8750 0.7500  6 W 2.60-2.62, 2 Pt 2.77, 4 Ru 2.77
Ru 0.7159 0.7159 0.0000  4 W 2.68-2.69, 2 Ru 2.77, 2 Pt 2.94
Ru 0.7159 0.2841 0.0000  4 W 2.68-2.69, 2 Ru 2.77, 2 Pt 2.94
Ru 0.6250 0.8750 0.7500  6 W 2.60-2.62, 2 Pt 2.77, 4 Ru 2.77
Ru 0.5341 0.4659 0.5000  4 W 2.68-2.69, 2 Ru 2.77, 2 Pt 2.94
Ru 0.9659 0.4659 0.5000  4 W 2.68-2.69, 2 Ru 2.77, 2 Pt 2.94
Ru 0.1250 0.3750 0.2500  6 W 2.60-2.62, 2 Pt 2.77, 4 Ru 2.77
Ru 0.5341 0.0341 0.5000  4 W 2.68-2.69, 2 Ru 2.77, 2 Pt 2.94
Ru 0.2841 0.7159 0.0000  4 W 2.68-2.69, 2 Ru 2.77, 2 Pt 2.94
Ru 0.9659 0.0341 0.5000  4 W 2.68-2.69, 2 Ru 2.77, 2 Pt 2.94
Ru 0.1250 0.8750 0.2500  6 W 2.60-2.62, 2 Pt 2.77, 4 Ru 2.77

Material: PmInHgPd
Method: DFT, PBE
State: optimized geometry

Results
calculated density = 10477 kg/m3
calculated total energy = -3.808 eV per atom
DFT formation energy = -0.562 eV per atom

Cell: 5.0273 5.0273 5.0273 Å, 60.00 60.00 60.00°
Closest atoms and distances in Å follow each position.
Positions (direct):
Pd 0.0000 0.0000 0.0000  4 Pm 3.08, 4 In 3.08
Pm 0.2500 0.2500 0.2500  4 Hg 3.08, 4 Pd 3.08
In 0.7500 0.7500 0.7500  4 Hg 3.08, 4 Pd 3.08
Hg 0.5000 0.5000 0.5000  4 In 3.08, 4 Pm 3.08

Material: LiPuUPt
Method: DFT, PBE
State: optimized geometry

Results
calculated density = 15207 kg/m3
calculated total energy = -8.684 eV per atom
DFT formation energy = -0.291 eV per atom

Cell: 4.7272 4.7272 4.7272 Å, 60.00 60.00 60.00°
Closest atoms and distances in Å follow each position.
Positions (direct):
Li 0.5000 0.5000 0.5000  4 Pt 2.89, 4 Pu 2.89
Pt 0.2500 0.2500 0.2500  4 U 2.89, 4 Li 2.89
Pu 0.7500 0.7500 0.7500  4 Li 2.89, 4 U 2.89
U 0.0000 0.0000 0.0000  4 Pu 2.89, 4 Pt 2.89